## Rb2LiNd2W4O16 (PBE with a Hubbard U)

Data for a relaxed Rb2LiNd2W4O16 crystal.

Lattice parameters (Å, degrees): 7.9324 7.9324 7.6248 61.98 61.98 88.55
Site moments in Bohr magnetons follow the coordinates.
Fractional positions:
1 Rb 0.2068 0.7932 0.5000  0.00
2 Rb 0.7906 0.2094 0.0000  0.00
3 Li 0.4960 0.5040 0.5000  0.00
4 Nd 0.7782 0.2218 0.5000  0.01
5 Nd 0.2279 0.7721 0.0000  0.00
6 W 0.7103 0.6941 0.5494  0.47
7 W 0.6942 0.7043 0.0410  0.11
8 W 0.2957 0.3058 0.9590  0.11
9 W 0.3059 0.2897 0.4506  0.47
10 O 0.3795 0.5870 0.2212  -0.02
11 O 0.0401 0.2358 0.5571  -0.01
12 O 0.3615 0.0583 0.6162  -0.02
13 O 0.0633 0.3618 0.1180  0.00
14 O 0.6424 0.7549 0.2976  -0.01
15 O 0.2451 0.3576 0.7024  -0.01
16 O 0.9417 0.6385 0.3838  -0.02
17 O 0.6218 0.4129 0.2895  -0.01
18 O 0.2391 0.0424 0.0592  0.00
19 O 0.9576 0.7609 0.9408  0.00
20 O 0.5871 0.3782 0.7105  -0.01
21 O 0.6382 0.9367 0.8820  0.00
22 O 0.3676 0.2511 0.1892  -0.04
23 O 0.7489 0.6324 0.8108  -0.04
24 O 0.7642 0.9599 0.4429  -0.01
25 O 0.4130 0.6205 0.7788  -0.02

Calculated values
Total moment in μB per cell: 1.00
Energy relative to the lowest polymorph listed for this composition in eV per atom: 0.0392